NaPtAu2 | GGA-PBE | relaxed

POSCAR file:
```
NaPtAu2
1.0
-2.916 -3.030 2.001
-4.556 0.943 0.207
-3.000 -2.419 -2.615
Pt Na Au
1 1 2
Direct
0.500 0.500 0.500
0.000 0.000 0.000
0.750 0.750 0.750
0.250 0.250 0.250
```

Space group ... Fm-3m, No. 225
Magnetic moment ... 0.000 μB per cell
E ... -3.562 eV/atom
Crystal system ... cubic
E_form ... -0.084 eV per atom
Offset from the most stable computed form ... 80 meV per atom